(1)
Computed, not measured: a geometry-optimized Li2Ce2ZnO6 structure at the PBE level of DFT.

The value obtained for the size of the total moment is 0.0 μB/f.u. As for the total DFT energy (no corrections): -6.426 eV per atom. As for the symmetry: No. 166. The value obtained for the raw formation energy is -2.18 eV/atom.

a b c (Å): 5.8729 5.8729 6.2375
angles (deg): 61.92 61.92 60.00
Closest atoms and distances in Å follow each position.
Atoms (fractional coordinates):
O 0.2470 0.7895 0.7165  1 Li 1.84
O 0.7530 0.7530 0.2835  1 Li 1.84
O 0.7895 0.2470 0.7165  1 Li 1.84
Li 0.4199 0.4199 0.7404  3 O 1.84
O 0.2470 0.2470 0.7165  1 Li 1.84
O 0.2105 0.7530 0.2835  1 Li 1.84
Ce 0.8159 0.8159 0.5524  3 O 2.09
Zn 0.0000 0.0000 0.0000  6 O 2.15
Ce 0.1841 0.1841 0.4476  3 O 2.09
Li 0.5801 0.5801 0.2596  3 O 1.84
O 0.7530 0.2105 0.2835  1 Li 1.84



(2)
Computed, not measured: a geometry-optimized Sc3ZnPt structure at the PBE level of DFT.

The density of states at the Fermi level comes out at 7.6 states/eV per cell. The value obtained for the size of the total moment is 1.0 μB/f.u. As for the total DFT energy (no corrections): -5.914 eV per atom. The value obtained for the energy above the lowest structure with this stoichiometry is 0.00 eV/f.u. The calculation puts the energy of formation at -63 kJ per mole of atoms. As for the symmetry: No. 63.

a b c (Å): 4.6699 4.6606 9.3008
angles (deg): 90.00 75.46 90.00
Closest atoms and distances in Å follow each position.
Atoms (fractional coordinates):
Sc 0.3878 0.2500 0.8728  2 Zn 2.85, 2 Pt 2.91
Sc 0.8894 0.7500 0.8696  2 Zn 2.83, 2 Pt 2.89
Pt 0.6641 0.7500 0.3201  8 Sc 2.84-2.91
Sc 0.0742 0.7500 0.5000  4 Pt 2.84, 4 Zn 2.90
Zn 0.4784 0.7500 0.6915  8 Sc 2.83-2.90
Pt 0.9843 0.2500 0.6799  8 Sc 2.84-2.91
Sc 0.5741 0.2500 0.5000  4 Pt 2.84, 4 Zn 2.90
Sc 0.7590 0.2500 0.1304  2 Zn 2.83, 2 Pt 2.89
Zn 0.1699 0.2500 0.3085  8 Sc 2.83-2.90
Sc 0.2606 0.7500 0.1272  2 Zn 2.85, 2 Pt 2.91



(3)
Computed, not measured: a geometry-optimized Tb2BeHg structure at the PBE level of DFT.

The density of states at the Fermi level comes out at 3.0 states/eV per cell. The value obtained for the size of the total moment is 0.0 μB/f.u. As for the total DFT energy (no corrections): -3.513 eV per atom. The value obtained for the energy above the lowest structure with this stoichiometry is 0.00 eV/f.u. The calculation puts the energy of formation at -18 kJ per mole of atoms. As for the symmetry: No. 123.

a b c (Å): 3.5195 3.5195 7.4089
angles (deg): 90.00 90.00 90.00
Closest atoms and distances in Å follow each position.
Atoms (fractional coordinates):
Hg 0.5000 0.5000 0.5000  8 Tb 3.24, 4 Hg 3.52
Tb 0.0000 0.0000 0.7791  4 Be 2.98, 4 Hg 3.24, 1 Tb 3.27
Be 0.5000 0.5000 0.0000  8 Tb 2.98
Tb 0.0000 0.0000 0.2209  4 Be 2.98, 4 Hg 3.24, 1 Tb 3.27



(4)
Computed, not measured: a geometry-optimized CsNbTlCl6 structure at the PBE level of DFT.

The density of states at the Fermi level comes out at 14.7 states/eV per cell. The value obtained for the size of the total moment is 1.0 μB/f.u. As for the total DFT energy (no corrections): -4.098 eV per atom. As for the symmetry: No. 163. The value obtained for the raw formation energy is -1.39 eV/atom.

a b c (Å): 7.6927 7.6927 13.6239
angles (deg): 90.00 90.00 120.00
Closest atoms and distances in Å follow each position.
Atoms (fractional coordinates):
Cl 0.6610 0.0712 0.3536  1 Nb 2.44
Nb 0.3333 0.6667 0.7500  6 Cl 2.44
Cl 0.3390 0.9288 0.6464  1 Nb 2.44
Tl 0.6667 0.3333 0.7500  6 Cl 3.19
Cl 0.5898 0.6610 0.6464  1 Nb 2.44
Cl 0.4102 0.3390 0.3536  1 Nb 2.44
Cs 0.0000 0.0000 0.5000  6 Cl 3.54
Cl 0.0712 0.6610 0.8536  1 Nb 2.44
Cl 0.9288 0.3390 0.1464  1 Nb 2.44
Nb 0.6667 0.3333 0.2500  6 Cl 2.44
Cl 0.4102 0.0712 0.1464  1 Nb 2.44
Cl 0.9288 0.5898 0.3536  1 Nb 2.44
Cl 0.0712 0.4102 0.6464  1 Nb 2.44
Tl 0.3333 0.6667 0.2500  6 Cl 3.19
Cl 0.5898 0.9288 0.8536  1 Nb 2.44
Cs 0.0000 0.0000 0.0000  6 Cl 3.54
Cl 0.3390 0.4102 0.8536  1 Nb 2.44
Cl 0.6610 0.5898 0.1464  1 Nb 2.44



(5)
Computed, not measured: a geometry-optimized CsSiPdPt structure at the PBE level of DFT.

The density of states at the Fermi level comes out at 2.2 states/eV per cell. The value obtained for the size of the total moment is 0.0 μB/f.u. As for the total DFT energy (no corrections): -4.775 eV per atom. As for the symmetry: No. 8. The value obtained for the raw formation energy is -0.40 eV/atom.

a b c (Å): 4.2176 4.2176 7.2147
angles (deg): 107.00 107.00 59.80
Closest atoms and distances in Å follow each position.
Atoms (fractional coordinates):
Si 0.9874 0.9874 0.8025  3 Pt 2.47, 3 Pd 2.53-2.54
Pd 0.2866 0.2866 0.6988  3 Si 2.53-2.54, 3 Pt 2.68-2.69
Pt 0.6751 0.6751 0.8658  3 Si 2.47, 3 Pd 2.68-2.69
Cs 0.4814 0.4814 0.2820  4 Pt 3.73-3.97, 4 Pd 3.73-3.96, 3 Si 4.06-4.07



(6)
Computed, not measured: a geometry-optimized SrCa2MnH structure at the PBE level of DFT.

The density of states at the Fermi level comes out at 3.8 states/eV per cell. The value obtained for the size of the total moment is 3.5 μB/f.u. As for the total DFT energy (no corrections): -3.134 eV per atom. As for the symmetry: No. 123.

a b c (Å): 6.4474 3.6833 6.4474
angles (deg): 90.00 90.00 90.00
Closest atoms and distances in Å follow each position.
Atoms (fractional coordinates):
Sr 0.5000 0.5000 0.5000  2 Sr 3.68, 8 Ca 3.71
H 0.0000 0.5000 0.0000  2 Mn 1.84
Ca 0.5000 0.0000 0.0000  2 Mn 3.22
Ca 0.0000 0.0000 0.5000  2 Mn 3.22
Mn 0.0000 0.0000 0.0000  2 H 1.84



(7)
Computed, not measured: a geometry-optimized ScIn2ReAs structure at the PBE level of DFT.

The density of states at the Fermi level comes out at 4.9 states/eV per cell. The value obtained for the size of the total moment is 2.8 μB/f.u. As for the total DFT energy (no corrections): -4.686 eV per atom. The calculation puts the energy of formation at 106 kJ per mole of atoms. As for the symmetry: No. 123.

a b c (Å): 5.1052 4.9589 5.1052
angles (deg): 90.00 90.00 90.00
Closest atoms and distances in Å follow each position.
Atoms (fractional coordinates):
In 0.0000 0.0000 0.5000  2 As 2.55
In 0.5000 0.0000 0.0000  2 As 2.55
As 0.0000 0.0000 0.0000  2 Sc 2.48, 4 In 2.55
Sc 0.0000 0.5000 0.0000  2 As 2.48
Re 0.5000 0.5000 0.5000  8 In 3.56, 4 Sc 3.61



(8)
Computed, not measured: a geometry-optimized HgGe structure at the PBE level of DFT.

The density of states at the Fermi level comes out at 4.7 states/eV per cell. The value obtained for the size of the total moment is 0.0 μB/f.u. As for the total DFT energy (no corrections): -2.181 eV per atom. The value obtained for the energy above the lowest structure with this stoichiometry is 0.26 eV/f.u. The calculation puts the energy of formation at 27 kJ per mole of atoms. As for the symmetry: No. 87.

a b c (Å): 10.3034 10.3034 4.8164
angles (deg): 90.00 90.00 90.00
Closest atoms and distances in Å follow each position.
Atoms (fractional coordinates):
Ge 0.7230 0.1993 0.0000  2 Hg 2.62-2.83, 2 Ge 2.68
Hg 0.7317 0.0295 0.5000  2 Ge 2.62-2.83
Ge 0.3007 0.2230 0.5000  2 Hg 2.62-2.83, 2 Ge 2.68
Hg 0.2317 0.5295 0.0000  2 Ge 2.62-2.83
Hg 0.7683 0.4705 0.0000  2 Ge 2.62-2.83
Hg 0.5295 0.7683 0.0000  2 Ge 2.62-2.83
Hg 0.4705 0.2317 0.0000  2 Ge 2.62-2.83
Ge 0.7770 0.3007 0.5000  2 Hg 2.62-2.83, 2 Ge 2.68
Ge 0.8007 0.7230 0.0000  2 Hg 2.62-2.83, 2 Ge 2.68
Ge 0.1993 0.2770 0.0000  2 Hg 2.62-2.83, 2 Ge 2.68
Ge 0.6993 0.7770 0.5000  2 Hg 2.62-2.83, 2 Ge 2.68
Hg 0.2683 0.9705 0.5000  2 Ge 2.62-2.83
Ge 0.2770 0.8007 0.0000  2 Hg 2.62-2.83, 2 Ge 2.68
Hg 0.9705 0.7317 0.5000  2 Ge 2.62-2.83
Hg 0.0295 0.2683 0.5000  2 Ge 2.62-2.83
Ge 0.2230 0.6993 0.5000  2 Hg 2.62-2.83, 2 Ge 2.68



(9)
Computed, not measured: a geometry-optimized MnAlFe2H structure at the PBE level of DFT.

The density of states at the Fermi level comes out at 3.2 states/eV per cell. The value obtained for the size of the total moment is 6.7 μB/f.u. As for the total DFT energy (no corrections): -6.812 eV per atom. The value obtained for the energy above the lowest structure with this stoichiometry is 0.00 eV/f.u. As for the symmetry: No. 123.

a b c (Å): 3.6862 3.6862 3.7522
angles (deg): 90.00 90.00 90.00
Closest atoms and distances in Å follow each position.
Atoms (fractional coordinates):
Al 0.5000 0.5000 0.5000  4 Mn 2.61, 8 Fe 2.63
Mn 0.0000 0.0000 0.5000  2 H 1.88
Fe 0.0000 0.5000 0.0000  2 H 1.84
H 0.0000 0.0000 0.0000  4 Fe 1.84, 2 Mn 1.88
Fe 0.5000 0.0000 0.0000  2 H 1.84



(10)
Computed, not measured: a geometry-optimized ClF6 structure at the PBE level of DFT.

The density of states at the Fermi level comes out at 8.3 states/eV per cell. The value obtained for the size of the total moment is 1.0 μB/f.u. As for the total DFT energy (no corrections): -2.374 eV per atom. As for the symmetry: No. 62. The value obtained for the raw formation energy is -0.51 eV/atom.

a b c (Å): 5.0004 8.5729 9.6583
angles (deg): 90.00 90.00 90.00
Closest atoms and distances in Å follow each position.
Atoms (fractional coordinates):
F 0.6507 0.2500 0.0123  1 Cl 1.72
F 0.1252 0.2500 0.2403  1 Cl 1.71
F 0.2685 0.1083 0.5308  1 Cl 1.72
Cl 0.3877 0.2500 0.1267  6 F 1.71-1.72
F 0.8748 0.7500 0.7597  1 Cl 1.71
Cl 0.8877 0.7500 0.3733  6 F 1.71-1.72
F 0.0434 0.8913 0.2769  1 Cl 1.71
F 0.6252 0.7500 0.2597  1 Cl 1.71
F 0.7685 0.8917 0.9692  1 Cl 1.72
F 0.5434 0.3913 0.2231  1 Cl 1.71
F 0.7315 0.6083 0.4692  1 Cl 1.72
F 0.2315 0.1083 0.0308  1 Cl 1.72
F 0.8493 0.2500 0.5123  1 Cl 1.72
F 0.4566 0.8913 0.7769  1 Cl 1.71
F 0.0434 0.6087 0.2769  1 Cl 1.71
Cl 0.1123 0.2500 0.6267  6 F 1.71-1.72
F 0.9566 0.3913 0.7231  1 Cl 1.71
F 0.9566 0.1087 0.7231  1 Cl 1.71
F 0.2315 0.3917 0.0308  1 Cl 1.72
F 0.3493 0.7500 0.9877  1 Cl 1.72
F 0.7315 0.8917 0.4692  1 Cl 1.72
F 0.3748 0.2500 0.7403  1 Cl 1.71
F 0.5434 0.1087 0.2231  1 Cl 1.71
F 0.7685 0.6083 0.9692  1 Cl 1.72
Cl 0.6123 0.7500 0.8733  6 F 1.71-1.72
F 0.2685 0.3917 0.5308  1 Cl 1.72
F 0.4566 0.6087 0.7769  1 Cl 1.71
F 0.1507 0.7500 0.4877  1 Cl 1.72



(11)
Computed, not measured: a geometry-optimized Ca3NbSe structure at the PBE level of DFT.

The density of states at the Fermi level comes out at 6.3 states/eV per cell. The value obtained for the size of the total moment is 0.0 μB/f.u. As for the total DFT energy (no corrections): -3.251 eV per atom. The value obtained for the energy above the lowest structure with this stoichiometry is 3.23 eV/f.u. As for the symmetry: No. 221. The value obtained for the raw formation energy is 0.66 eV/atom.

a b c (Å): 5.4359 5.4359 5.4359
angles (deg): 90.00 90.00 90.00
Closest atoms and distances in Å follow each position.
Atoms (fractional coordinates):
Se 0.5000 0.5000 0.5000  12 Ca 3.84
Ca 0.5000 0.0000 0.0000  2 Nb 2.72
Ca 0.0000 0.0000 0.5000  2 Nb 2.72
Ca 0.0000 0.5000 0.0000  2 Nb 2.72
Nb 0.0000 0.0000 0.0000  6 Ca 2.72



(12)
Computed, not measured: a geometry-optimized AcLa2Pr6Dy structure at the PBE level of DFT.

The density of states at the Fermi level comes out at 31.2 states/eV per cell. The value obtained for the size of the total moment is 0.0 μB/f.u. As for the total DFT energy (no corrections): -4.615 eV per atom. The calculation puts the energy of formation at 11 kJ per mole of atoms. As for the symmetry: No. 15.

a b c (Å): 10.0784 9.1692 9.1692
angles (deg): 118.09 93.70 93.70
Closest atoms and distances in Å follow each position.
Atoms (fractional coordinates):
La 0.4566 0.8018 0.6918  5 Pr 3.36-3.71, 2 Ac 3.55-3.61, 1 Dy 3.73
Pr 0.5536 0.7429 0.1253  7 Pr 3.55-3.96, 1 La 3.71, 1 Ac 3.85, 1 Dy 3.95
Pr 0.6181 0.4990 0.7059  3 La 3.36-3.59, 4 Pr 3.41-3.66, 2 Dy 3.53-3.72
Dy 0.2500 0.4081 0.5919  8 Pr 3.53-3.95, 2 La 3.73
Pr 0.8104 0.4323 0.9844  5 Pr 3.41-3.82, 2 La 3.54-3.78, 1 Dy 3.56, 1 Ac 3.80
Pr 0.3819 0.5010 0.2941  3 La 3.36-3.59, 4 Pr 3.41-3.66, 2 Dy 3.53-3.72
Pr 0.4464 0.2571 0.8747  7 Pr 3.55-3.96, 1 La 3.71, 1 Ac 3.85, 1 Dy 3.95
Dy 0.7500 0.5919 0.4081  8 Pr 3.53-3.95, 2 La 3.73
Pr 0.1896 0.5677 0.0156  5 Pr 3.41-3.82, 2 La 3.54-3.78, 1 Dy 3.56, 1 Ac 3.80
Pr 0.1181 0.7059 0.4990  3 La 3.36-3.59, 4 Pr 3.41-3.66, 2 Dy 3.53-3.72
Pr 0.3104 0.9844 0.4323  5 Pr 3.41-3.82, 2 La 3.54-3.78, 1 Dy 3.56, 1 Ac 3.80
La 0.9566 0.6918 0.8018  5 Pr 3.36-3.71, 2 Ac 3.55-3.61, 1 Dy 3.73
Pr 0.8819 0.2941 0.5010  3 La 3.36-3.59, 4 Pr 3.41-3.66, 2 Dy 3.53-3.72
Ac 0.7500 0.0181 0.9819  4 La 3.55-3.61, 4 Pr 3.80-3.85
Pr 0.0536 0.1253 0.7429  7 Pr 3.55-3.96, 1 La 3.71, 1 Ac 3.85, 1 Dy 3.95
La 0.5434 0.1982 0.3082  5 Pr 3.36-3.71, 2 Ac 3.55-3.61, 1 Dy 3.73
Ac 0.2500 0.9819 0.0181  4 La 3.55-3.61, 4 Pr 3.80-3.85
Pr 0.6896 0.0156 0.5677  5 Pr 3.41-3.82, 2 La 3.54-3.78, 1 Dy 3.56, 1 Ac 3.80
La 0.0434 0.3082 0.1982  5 Pr 3.36-3.71, 2 Ac 3.55-3.61, 1 Dy 3.73
Pr 0.9464 0.8747 0.2571  7 Pr 3.55-3.96, 1 La 3.71, 1 Ac 3.85, 1 Dy 3.95